## LiNi2Rh (GGA-PBE)

Data for a relaxed LiNi2Rh crystal.

Calculated values
Total energy: -5.22 eV/atom
Formation energy: -0.01 eV per atom
Density: 7972 kg/m³

Unit cell a=4.452 b=4.452 c=4.452 alpha=132.31 beta=132.31 gamma=69.73
Fractional positions:
Li1 0.000 0.000 0.000
Ni1 0.250 0.750 0.500
Ni2 0.750 0.250 0.500
Rh1 0.500 0.500 0.000

---

## MgFe2S4 (GGA-PBE)

Data for a relaxed MgFe2S4 crystal.

Calculated values
Formation energy without anion corrections: -0.555 eV per atom
Total energy: -5.56 eV/atom
Density: 3679 kg/m³

Unit cell a=6.962 b=6.962 c=6.962 alpha=60.00 beta=60.00 gamma=60.00
Fractional positions:
Mg1 0.125 0.125 0.125
Mg2 0.875 0.875 0.875
Fe1 0.000 0.500 0.500
Fe2 0.500 0.000 0.500
Fe3 0.500 0.500 0.000
Fe4 0.500 0.500 0.500
S1 0.267 0.267 0.267
S2 0.267 0.267 0.699
S3 0.267 0.699 0.267
S4 0.301 0.733 0.733
S5 0.699 0.267 0.267
S6 0.733 0.301 0.733
S7 0.733 0.733 0.301
S8 0.733 0.733 0.733